Here is crystalline NaAcNi2H8 at its relaxed geometry from Alexandria via LeMat-Bulk. Energies are from PBE.

For the total energy, the calculation gives -3.880 eV/atom.

It has space group R-3 (No. 148, hexagonal axes), with a = 4.6143 Å, b = 4.6143 Å, c = 19.4018 Å, α = 90.00°, β = 90.00° and γ = 120.00°. The asymmetric unit holds Na at (0.0000, 0.0000, 0.0000), Ac at (0.0000, 0.0000, 0.5000), Ni at (0.0000, 0.0000, 0.3337), H at (0.0000, 0.0000, 0.1495) and H at (0.0017, 0.4320, 0.0475).